# 1
An optimized crystal structure of TlAgO2, computed with PBE.

## Properties
DOS(E_F), states/eV/cell: 4.7
Magnetization, μB per cell: 0.0
Raw total energy, eV/atom: -4.16

a b c (Å): 4.772 4.772 10.488
angles (deg): 90.00 90.00 90.00
Space group I4_1/amd (No. 141, origin choice 2)
Symmetry-distinct sites (fractional):
Tl 0.000 0.250 0.375 x4
Ag 0.000 0.250 0.875 x4
O 0.000 0.250 0.158 x8



# 2
An optimized crystal structure of TlAg2O2, computed with PBE.

## Properties
DOS(E_F), states/eV/cell: 2.5
Magnetization, μB per cell: 0.0
Raw total energy, eV/atom: -3.87

a b c (Å): 8.973 8.836 6.287
angles (deg): 90.00 131.92 90.00
Space group C2/c (No. 15)
Symmetry-distinct sites (fractional):
Tl 0.000 0.111 0.250 x4
Ag 0.000 0.500 0.000 x4
Ag 0.250 0.250 0.000 x4
O 0.197 0.065 0.745 x8



# 3
An optimized crystal structure of TlAg3O, computed with PBE.

## Properties
DOS(E_F), states/eV/cell: 1.5
Magnetization, μB per cell: 0.0
Raw total energy, eV/atom: -3.12

a b c (Å): 4.607 4.607 4.607
angles (deg): 90.00 90.00 90.00
Space group Pm-3m (No. 221)
Symmetry-distinct sites (fractional):
Tl 0.000 0.000 0.000 x1
Ag 0.000 0.500 0.500 x3
O 0.500 0.500 0.500 x1



magnetization of number 1 (TlAgO2)? 0.0 μB per cell